No. 1
TiPdI2N: optimized geometry, PBE.

Cell lengths 5.7482, 5.7482, 3.7392 Å; angles 90.00, 90.00, 90.00 degrees
Last column: nearest neighbours and their distance in Å.
Positions (direct):
Ti 0.0000 0.0000 0.0000  8 I 3.43, 2 Ti 3.74
Pd 0.5000 0.5000 0.5000  2 N 1.87
I 0.0000 0.5000 0.5000  2 Pd 2.87
I 0.5000 0.0000 0.5000  2 Pd 2.87
N 0.5000 0.5000 0.0000  2 Pd 1.87

Values from the calculation:
calculated total energy = -4.183 eV per atom
E_form (uncorrected) = 3.60 eV per formula unit
energy above the lowest structure with this stoichiometry = 605.5 meV per atom



No. 2
Fe2Mo: optimized geometry, PBE.

Cell lengths 11.5346, 11.5346, 11.5346 Å; angles 161.83, 161.83, 25.81 degrees
Last column: nearest neighbours and their distance in Å.
Positions (direct):
Fe 0.1242 0.3742 0.7500  4 Mo 2.51-2.54, 8 Fe 2.55-2.58
Fe 0.2949 0.5449 0.7500  6 Fe 2.55-2.72, 6 Mo 2.58-2.76
Fe 0.3742 0.1242 0.2500  4 Mo 2.51-2.54, 8 Fe 2.55-2.58
Fe 0.4551 0.7051 0.7500  6 Fe 2.55-2.72, 6 Mo 2.58-2.76
Fe 0.5449 0.2949 0.2500  6 Fe 2.55-2.72, 6 Mo 2.58-2.76
Fe 0.6258 0.8758 0.7500  4 Mo 2.51-2.54, 8 Fe 2.55-2.58
Fe 0.7051 0.4551 0.2500  6 Fe 2.55-2.72, 6 Mo 2.58-2.76
Fe 0.8758 0.6258 0.2500  4 Mo 2.51-2.54, 8 Fe 2.55-2.58
Mo 0.0473 0.7973 0.2500  10 Fe 2.51-2.76, 2 Mo 2.80
Mo 0.2027 0.9527 0.2500  10 Fe 2.51-2.76, 2 Mo 2.80
Mo 0.7973 0.0473 0.7500  10 Fe 2.51-2.76, 2 Mo 2.80
Mo 0.9527 0.2027 0.7500  10 Fe 2.51-2.76, 2 Mo 2.80

Values from the calculation:
calculated total energy = -9.143 eV per atom
ΔH_f (0 K) = 109 meV/atom



No. 3
CaNiSb2: optimized geometry, PBE.

Cell lengths 5.2605, 5.2605, 5.2605 Å; angles 126.16, 126.16, 79.63 degrees
Last column: nearest neighbours and their distance in Å.
Positions (direct):
Ca 0.0000 0.0000 0.0000  8 Sb 3.12, 4 Ni 3.37
Ni 0.5000 0.5000 0.0000  8 Sb 3.12, 4 Ca 3.37
Sb 0.2500 0.7500 0.5000  4 Ca 3.12, 4 Ni 3.12, 4 Sb 3.37
Sb 0.7500 0.2500 0.5000  4 Ca 3.12, 4 Ni 3.12, 4 Sb 3.37

Values from the calculation:
calculated total energy = -4.096 eV per atom
E_form (uncorrected) = -0.36 eV per formula unit



No. 4
YMnCu2: optimized geometry, PBE.

Cell lengths 4.4704, 4.4704, 3.4717 Å; angles 90.00, 90.00, 90.00 degrees
Last column: nearest neighbours and their distance in Å.
Positions (direct):
Y 0.0000 0.0000 0.0000  8 Cu 2.83, 4 Mn 3.16
Mn 0.5000 0.5000 0.0000  8 Cu 2.83, 4 Y 3.16
Cu 0.0000 0.5000 0.5000  4 Mn 2.83, 4 Y 2.83, 4 Cu 3.16
Cu 0.5000 0.0000 0.5000  4 Mn 2.83, 4 Y 2.83, 4 Cu 3.16

Values from the calculation:
calculated total energy = -5.826 eV per atom
ΔH_f (0 K) = 131 meV/atom



No. 5
Ca2TlCd6: optimized geometry, PBE.

Cell lengths 6.1623, 6.1623, 6.1623 Å; angles 92.40, 92.40, 92.40 degrees
Last column: nearest neighbours and their distance in Å.
Positions (direct):
Ca 0.1758 0.1758 0.1758  1 Tl 3.31, 12 Cd 3.38-3.46, 1 Ca 3.59
Ca 0.8242 0.8242 0.8242  1 Tl 3.31, 12 Cd 3.38-3.46, 1 Ca 3.59
Tl 0.5000 0.5000 0.5000  2 Ca 3.31, 12 Cd 3.42
Cd 0.0000 0.3322 0.6678  3 Cd 2.96-2.98
Cd 0.0000 0.6678 0.3322  3 Cd 2.96-2.98
Cd 0.3322 0.0000 0.6678  3 Cd 2.96-2.98
Cd 0.3322 0.6678 0.0000  3 Cd 2.96-2.98
Cd 0.6678 0.0000 0.3322  3 Cd 2.96-2.98
Cd 0.6678 0.3322 0.0000  3 Cd 2.96-2.98

Values from the calculation:
calculated total energy = -1.544 eV per atom
ΔH_f (0 K) = -226 meV/atom
energy above the lowest structure with this stoichiometry = 0.0 meV per atom



No. 6
Ba2PrAg3Bi4: optimized geometry, PBE.

Cell lengths 5.0847, 5.0847, 12.6662 Å; angles 90.00, 90.00, 90.00 degrees
Last column: nearest neighbours and their distance in Å.
Positions (direct):
Ba 0.0000 0.5000 0.2231  8 Bi 3.80-3.95, 4 Ag 3.81
Ba 0.5000 0.0000 0.7769  8 Bi 3.80-3.95, 4 Ag 3.81
Pr 0.0000 0.0000 0.5000  4 Bi 3.16
Ag 0.0000 0.5000 0.8765  5 Bi 2.89-2.99
Ag 0.5000 0.0000 0.1235  5 Bi 2.89-2.99
Ag 0.5000 0.5000 0.5000  4 Bi 3.16
Bi 0.0000 0.0000 0.0000  4 Ag 2.99
Bi 0.0000 0.5000 0.6485  3 Ag 2.89-3.16, 2 Pr 3.16
Bi 0.5000 0.0000 0.3515  3 Ag 2.89-3.16, 2 Pr 3.16
Bi 0.5000 0.5000 0.0000  4 Ag 2.99

Values from the calculation:
calculated total energy = -3.783 eV per atom
ΔH_f (0 K) = -513 meV/atom



No. 7
CeGa4Rh4: optimized geometry, PBE.

Cell lengths 8.1425, 8.1425, 4.9121 Å; angles 90.00, 90.00, 90.00 degrees
Last column: nearest neighbours and their distance in Å.
Positions (direct):
Ce 0.2500 0.2500 0.2500  4 Rh 3.05, 8 Ga 3.38-3.39
Ce 0.7500 0.7500 0.7500  4 Rh 3.05, 8 Ga 3.38-3.39
Ga 0.0481 0.8902 0.1733  5 Rh 2.45-2.58, 1 Ga 2.59
Ga 0.1098 0.5481 0.6733  5 Rh 2.45-2.58, 1 Ga 2.59
Ga 0.3902 0.9519 0.6733  5 Rh 2.45-2.58, 1 Ga 2.59
Ga 0.4519 0.6098 0.1733  5 Rh 2.45-2.58, 1 Ga 2.59
Ga 0.5481 0.3902 0.8267  5 Rh 2.45-2.58, 1 Ga 2.59
Ga 0.6098 0.0481 0.3267  5 Rh 2.45-2.58, 1 Ga 2.59
Ga 0.8902 0.4519 0.3267  5 Rh 2.45-2.58, 1 Ga 2.59
Ga 0.9519 0.1098 0.8267  5 Rh 2.45-2.58, 1 Ga 2.59
Rh 0.1020 0.8649 0.6618  5 Ga 2.45-2.58
Rh 0.1351 0.6020 0.1618  5 Ga 2.45-2.58
Rh 0.3649 0.8980 0.1618  5 Ga 2.45-2.58
Rh 0.3980 0.6351 0.6618  5 Ga 2.45-2.58
Rh 0.6020 0.3649 0.3382  5 Ga 2.45-2.58
Rh 0.6351 0.1020 0.8382  5 Ga 2.45-2.58
Rh 0.8649 0.3980 0.8382  5 Ga 2.45-2.58
Rh 0.8980 0.1351 0.3382  5 Ga 2.45-2.58

Values from the calculation:
calculated total energy = -5.853 eV per atom
ΔH_f (0 K) = -581 meV/atom



No. 8
La8Sn3SeI4: optimized geometry, PBE.

Cell lengths 9.2026, 9.2026, 9.2929 Å; angles 119.69, 119.69, 60.00 degrees
Last column: nearest neighbours and their distance in Å.
Positions (direct):
La 0.2309 0.7539 0.7155  1 Se 3.02, 2 Sn 3.18
La 0.2319 0.2319 0.7169  1 Se 3.03, 2 Sn 3.18, 2 I 3.38
La 0.2461 0.7691 0.2845  1 Se 3.02, 2 Sn 3.18
La 0.2578 0.2578 0.2736  3 Sn 3.17, 3 I 3.38
La 0.7422 0.7422 0.7264  3 Sn 3.17, 3 I 3.38
La 0.7539 0.2309 0.7155  1 Se 3.02, 2 Sn 3.18
La 0.7681 0.7681 0.2831  1 Se 3.03, 2 Sn 3.18, 2 I 3.38
La 0.7691 0.2461 0.2845  1 Se 3.02, 2 Sn 3.18
Sn 0.0000 0.5000 0.5000  6 La 3.17-3.18
Sn 0.5000 0.0000 0.5000  6 La 3.17-3.18
Sn 0.5000 0.5000 0.5000  6 La 3.17-3.18
Se 0.0000 0.0000 0.5000  6 La 3.02-3.03
I 0.0000 0.0000 0.0000  6 La 3.38
I 0.0000 0.5000 0.0000  6 La 3.38
I 0.5000 0.0000 0.0000  6 La 3.38
I 0.5000 0.5000 0.0000  6 La 3.51-3.53

Values from the calculation:
calculated total energy = -4.948 eV per atom
E_form (uncorrected) = -18.05 eV per formula unit



No. 9
BaReP2O8: optimized geometry, PBE.

Cell lengths 8.3844, 8.3844, 8.3844 Å; angles 36.16, 36.16, 36.16 degrees
Last column: nearest neighbours and their distance in Å.
Positions (direct):
Ba 0.0000 0.0000 0.0000  6 O 3.07
Re 0.5000 0.5000 0.5000  6 O 2.00
P 0.2419 0.2419 0.2419  4 O 1.53-1.54
P 0.7581 0.7581 0.7581  4 O 1.53-1.54
O 0.1031 0.6154 0.6188  1 P 1.54
O 0.3070 0.3070 0.3070  1 P 1.53
O 0.3812 0.3846 0.8969  1 P 1.54
O 0.3846 0.8969 0.3812  1 P 1.54
O 0.6154 0.6188 0.1031  1 P 1.54
O 0.6188 0.1031 0.6154  1 P 1.54
O 0.6930 0.6930 0.6930  1 P 1.53
O 0.8969 0.3812 0.3846  1 P 1.54

Values from the calculation:
calculated total energy = -7.515 eV per atom
E_form (uncorrected) = -25.33 eV per formula unit



No. 10
LaRuSe2Br: optimized geometry, PBE.

Cell lengths 4.9601, 4.9601, 4.9483 Å; angles 90.00, 90.00, 90.00 degrees
Last column: nearest neighbours and their distance in Å.
Positions (direct):
La 0.0000 0.0000 0.0000  8 Se 3.50, 4 Br 3.51
Ru 0.5000 0.5000 0.5000  2 Br 2.47, 4 Se 2.48
Se 0.0000 0.5000 0.5000  2 Ru 2.48
Se 0.5000 0.0000 0.5000  2 Ru 2.48
Br 0.5000 0.5000 0.0000  2 Ru 2.47

Values from the calculation:
calculated total energy = -5.223 eV per atom
E_form (uncorrected) = -3.27 eV per formula unit
energy above the lowest structure with this stoichiometry = 0.0 meV per atom



No. 11
Pu3Sn2: optimized geometry, PBE.

Cell lengths 5.6258, 5.6258, 8.8322 Å; angles 90.00, 90.00, 112.57 degrees
Last column: nearest neighbours and their distance in Å.
Positions (direct):
Pu 0.0000 0.0000 0.0000  4 Pu 2.97
Pu 0.1197 0.3803 0.2500  4 Pu 2.97-3.12, 4 Sn 3.09-3.26
Pu 0.3803 0.1197 0.7500  4 Pu 2.97-3.12, 4 Sn 3.09-3.26
Pu 0.5000 0.5000 0.5000  4 Pu 2.97
Pu 0.6197 0.8803 0.2500  4 Pu 2.97-3.12, 4 Sn 3.09-3.26
Pu 0.8803 0.6197 0.7500  4 Pu 2.97-3.12, 4 Sn 3.09-3.26
Sn 0.1324 0.8676 0.4163  1 Sn 2.89, 2 Pu 3.09
Sn 0.3676 0.6324 0.9163  1 Sn 2.89, 2 Pu 3.09
Sn 0.6324 0.3676 0.0837  1 Sn 2.89, 2 Pu 3.09
Sn 0.8676 0.1324 0.5837  1 Sn 2.89, 2 Pu 3.09

Values from the calculation:
calculated total energy = -10.309 eV per atom
ΔH_f (0 K) = -109 meV/atom



No. 12
NaAg12Sb4: optimized geometry, PBE.

Cell lengths 8.2584, 8.2584, 8.2584 Å; angles 109.47, 109.47, 109.47 degrees
Last column: nearest neighbours and their distance in Å.
Positions (direct):
Na 0.0000 0.0000 0.0000  12 Ag 3.66
Ag 0.1488 0.3542 0.5029  2 Sb 2.76, 2 Ag 2.78-2.84
Ag 0.1488 0.6458 0.7946  2 Sb 2.76, 2 Ag 2.78-2.84
Ag 0.2054 0.8512 0.3542  2 Sb 2.76, 2 Ag 2.78-2.84
Ag 0.3542 0.2054 0.8512  2 Sb 2.76, 2 Ag 2.78-2.84
Ag 0.3542 0.5029 0.1488  2 Sb 2.76, 2 Ag 2.78-2.84
Ag 0.4971 0.8512 0.6458  2 Sb 2.76, 2 Ag 2.78-2.84
Ag 0.5029 0.1488 0.3542  2 Sb 2.76, 2 Ag 2.78-2.84
Ag 0.6458 0.4971 0.8512  2 Sb 2.76, 2 Ag 2.78-2.84
Ag 0.6458 0.7946 0.1488  2 Sb 2.76, 2 Ag 2.78-2.84
Ag 0.7946 0.1488 0.6458  2 Sb 2.76, 2 Ag 2.78-2.84
Ag 0.8512 0.3542 0.2054  2 Sb 2.76, 2 Ag 2.78-2.84
Ag 0.8512 0.6458 0.4971  2 Sb 2.76, 2 Ag 2.78-2.84
Sb 0.0000 0.0000 0.5000  6 Ag 2.76
Sb 0.0000 0.5000 0.0000  6 Ag 2.76
Sb 0.5000 0.0000 0.0000  6 Ag 2.76
Sb 0.5000 0.5000 0.5000  6 Ag 2.76

Values from the calculation:
calculated total energy = -2.766 eV per atom
E_form (uncorrected) = 4.99 eV per formula unit



No. 13
Hf4NiIr: optimized geometry, PBE.

Cell lengths 7.3920, 7.3920, 5.4641 Å; angles 105.78, 105.78, 114.31 degrees
Last column: nearest neighbours and their distance in Å.
Positions (direct):
Hf 0.0577 0.6911 0.9029  2 Ir 2.75-2.81, 2 Ni 2.77-2.82
Hf 0.2298 0.3637 0.7154  2 Ni 2.60-2.62, 1 Ir 2.66
Hf 0.3089 0.9423 0.5971  2 Ir 2.75-2.81, 2 Ni 2.77-2.82
Hf 0.3637 0.2298 0.2154  2 Ni 2.60-2.62, 1 Ir 2.66
Hf 0.6363 0.7702 0.7846  2 Ni 2.60-2.62, 1 Ir 2.66
Hf 0.6911 0.0577 0.4029  2 Ir 2.75-2.81, 2 Ni 2.77-2.82
Hf 0.7702 0.6363 0.2846  2 Ni 2.60-2.62, 1 Ir 2.66
Hf 0.9423 0.3089 0.0971  2 Ir 2.75-2.81, 2 Ni 2.77-2.82
Ni 0.0009 0.9991 0.7500  8 Hf 2.60-2.82, 2 Ni 2.73
Ni 0.9991 0.0009 0.2500  8 Hf 2.60-2.82, 2 Ni 2.73
Ir 0.3664 0.6336 0.2500  8 Hf 2.66-2.93
Ir 0.6336 0.3664 0.7500  8 Hf 2.66-2.93

Values from the calculation:
calculated total energy = -9.483 eV per atom
ΔH_f (0 K) = -407 meV/atom
energy above the lowest structure with this stoichiometry = 53.4 meV per atom



No. 14
K2RbGaPt: optimized geometry, PBE.

Cell lengths 6.4051, 6.4051, 4.9113 Å; angles 90.00, 90.00, 90.00 degrees
Last column: nearest neighbours and their distance in Å.
Positions (direct):
K 0.0000 0.5000 0.0000  2 Pt 3.20
K 0.5000 0.0000 0.0000  2 Pt 3.20
Rb 0.0000 0.0000 0.5000  8 K 4.04
Ga 0.5000 0.5000 0.5000  2 Pt 2.46
Pt 0.5000 0.5000 0.0000  2 Ga 2.46

Values from the calculation:
calculated total energy = -2.570 eV per atom
ΔH_f (0 K) = -124 meV/atom



No. 15
Ac2LaSiN4: optimized geometry, PBE.

Cell lengths 6.3089, 6.3089, 12.8337 Å; angles 90.00, 90.00, 146.26 degrees
Last column: nearest neighbours and their distance in Å.
Positions (direct):
Ac 0.1345 0.8655 0.5472  4 N 2.52-2.66
Ac 0.1345 0.8655 0.9528  4 N 2.52-2.66
Ac 0.8655 0.1345 0.0472  4 N 2.52-2.66
Ac 0.8655 0.1345 0.4528  4 N 2.52-2.66
La 0.4043 0.5957 0.7500  6 N 2.73-3.04
La 0.5957 0.4043 0.2500  6 N 2.73-3.04
Si 0.3121 0.6879 0.2500  2 N 1.76
Si 0.6879 0.3121 0.7500  2 N 1.76
N 0.1055 0.8945 0.7500  2 Si 2.08
N 0.2199 0.7801 0.1440  1 Si 1.76
N 0.2199 0.7801 0.3560  1 Si 1.76
N 0.5000 0.5000 0.0000  4 Ac 2.52
N 0.5000 0.5000 0.5000  4 Ac 2.52
N 0.7801 0.2199 0.6440  1 Si 1.76
N 0.7801 0.2199 0.8560  1 Si 1.76
N 0.8945 0.1055 0.2500  2 Si 2.08

Values from the calculation:
calculated total energy = -7.441 eV per atom
E_form (uncorrected) = -7.66 eV per formula unit



No. 16
POsN: optimized geometry, PBE.

Cell lengths 2.9524, 4.7206, 4.7206 Å; angles 33.28, 90.00, 90.00 degrees
Last column: nearest neighbours and their distance in Å.
Positions (direct):
P 0.0000 0.0000 0.0000  2 N 1.70
Os 0.5000 0.8113 0.8113  2 P 2.26, 2 N 2.31
N 0.0000 0.6147 0.6147  2 P 1.70

Values from the calculation:
calculated total energy = -8.131 eV per atom
E_form (uncorrected) = 0.57 eV per formula unit
energy above the lowest structure with this stoichiometry = 71.3 meV per atom



No. 17
ZrAlGaAg: optimized geometry, PBE.

Cell lengths 4.0052, 4.1655, 4.2932 Å; angles 90.00, 90.00, 90.00 degrees
Last column: nearest neighbours and their distance in Å.
Positions (direct):
Zr 0.0000 0.0000 0.0000  4 Ga 2.89, 4 Al 2.94, 4 Ag 2.99
Al 0.5000 0.0000 0.5000  4 Ag 2.89, 4 Zr 2.94, 4 Ga 2.99
Ga 0.5000 0.5000 0.0000  4 Zr 2.89, 4 Ag 2.94, 4 Al 2.99
Ag 0.0000 0.5000 0.5000  4 Al 2.89, 4 Ga 2.94, 4 Zr 2.99

Values from the calculation:
calculated total energy = -4.920 eV per atom
ΔH_f (0 K) = -378 meV/atom



No. 18
TbHoCo2: optimized geometry, PBE.

Cell lengths 4.7160, 4.7160, 3.3489 Å; angles 90.00, 90.00, 90.00 degrees
Last column: nearest neighbours and their distance in Å.
Positions (direct):
Tb 0.0000 0.0000 0.0000  8 Co 2.89
Ho 0.5000 0.5000 0.0000  8 Co 2.89
Co 0.0000 0.5000 0.5000  4 Tb 2.89, 4 Ho 2.89
Co 0.5000 0.0000 0.5000  4 Tb 2.89, 4 Ho 2.89

Values from the calculation:
calculated total energy = -6.000 eV per atom
ΔH_f (0 K) = -145 meV/atom
energy above the lowest structure with this stoichiometry = 60.8 meV per atom



No. 19
KVCd2Br8: optimized geometry, PBE.

Cell lengths 6.7525, 6.7525, 9.5959 Å; angles 92.67, 92.67, 69.31 degrees
Last column: nearest neighbours and their distance in Å.
Positions (direct):
K 0.0000 0.0000 0.0000  6 Br 3.40-3.48
V 0.0000 0.0000 0.5000  6 Br 2.54-2.57
Cd 0.3611 0.3611 0.7081  4 Br 2.54-2.75
Cd 0.6389 0.6389 0.2919  4 Br 2.54-2.75
Br 0.2085 0.7433 0.3081  1 V 2.57, 1 Cd 2.75
Br 0.2258 0.2258 0.4725  1 V 2.54, 1 Cd 2.64
Br 0.2567 0.7915 0.6919  1 V 2.57, 1 Cd 2.75
Br 0.3022 0.3022 0.9599  1 Cd 2.54
Br 0.6978 0.6978 0.0401  1 Cd 2.54
Br 0.7433 0.2085 0.3081  1 V 2.57, 1 Cd 2.75
Br 0.7742 0.7742 0.5275  1 V 2.54, 1 Cd 2.64
Br 0.7915 0.2567 0.6919  1 V 2.57, 1 Cd 2.75

Values from the calculation:
calculated total energy = -3.075 eV per atom
E_form (uncorrected) = -11.47 eV per formula unit



No. 20
Cd3Pt: optimized geometry, PBE.

Cell lengths 7.1736, 7.1736, 7.1617 Å; angles 90.00, 90.00, 90.00 degrees
Last column: nearest neighbours and their distance in Å.
Positions (direct):
Cd 0.0000 0.5000 0.0000  2 Pt 2.78
Cd 0.0000 0.5000 0.5000  2 Pt 2.78
Cd 0.1591 0.1591 0.2451  3 Pt 2.70-2.81
Cd 0.1591 0.1591 0.7549  3 Pt 2.70-2.81
Cd 0.3409 0.6591 0.2549  3 Pt 2.70-2.81
Cd 0.3409 0.6591 0.7451  3 Pt 2.70-2.81
Cd 0.5000 0.0000 0.0000  2 Pt 2.78
Cd 0.5000 0.0000 0.5000  2 Pt 2.78
Cd 0.6591 0.3409 0.2549  3 Pt 2.70-2.81
Cd 0.6591 0.3409 0.7451  3 Pt 2.70-2.81
Cd 0.8409 0.8409 0.2451  3 Pt 2.70-2.81
Cd 0.8409 0.8409 0.7549  3 Pt 2.70-2.81
Pt 0.1381 0.8619 0.5000  8 Cd 2.70-2.81, 1 Pt 2.80
Pt 0.3619 0.3619 0.0000  8 Cd 2.70-2.81, 1 Pt 2.80
Pt 0.6381 0.6381 0.0000  8 Cd 2.70-2.81, 1 Pt 2.80
Pt 0.8619 0.1381 0.5000  8 Cd 2.70-2.81, 1 Pt 2.80

Values from the calculation:
calculated total energy = -2.448 eV per atom
ΔH_f (0 K) = -252 meV/atom